Arrangement one

Material: La8Pr2Sn
Method: DFT, PBE-GGA
State: optimized geometry

The structure in CIF format:
```
data_La8Pr2Sn
_chemical_formula_sum 'La8 Pr2 Sn1'
_cell_length_a 5.063
_cell_length_b 8.325
_cell_length_c 9.788
_cell_angle_alpha 105.04
_cell_angle_beta 104.99
_cell_angle_gamma 90.00
_space_group_name_H-M_alt 'P 1'
_space_group_IT_number 1
loop_
_space_group_symop_operation_xyz
'x,y,z'
loop_
_atom_site_label
_atom_site_type_symbol
_atom_site_fract_x
_atom_site_fract_y
_atom_site_fract_z
_atom_site_occupancy
La1 La 0.868 0.825 0.736 1
La2 La 0.675 0.912 0.349 1
La3 La 0.412 0.560 0.823 1
La4 La 0.588 0.440 0.177 1
La5 La 0.956 0.260 0.913 1
La6 La 0.325 0.088 0.651 1
La7 La 0.132 0.175 0.264 1
La8 La 0.044 0.740 0.087 1
Pr1 Pr 0.773 0.362 0.545 1
Pr2 Pr 0.227 0.638 0.455 1
Sn1 Sn 0.500 0.000 0.000 1
```



Arrangement two

Material: La8Pr2Sn
Method: DFT, PBE-GGA
State: optimized geometry

The structure in CIF format:
```
data_La8Pr2Sn
_chemical_formula_sum 'La8 Pr2 Sn1'
_cell_length_a 6.490
_cell_length_b 10.469
_cell_length_c 10.469
_cell_angle_alpha 38.01
_cell_angle_beta 116.37
_cell_angle_gamma 116.37
_space_group_name_H-M_alt 'P 1'
_space_group_IT_number 1
loop_
_space_group_symop_operation_xyz
'x,y,z'
loop_
_atom_site_label
_atom_site_type_symbol
_atom_site_fract_x
_atom_site_fract_y
_atom_site_fract_z
_atom_site_occupancy
La1 La 0.320 0.893 0.893 1
La2 La 0.264 0.912 0.419 1
La3 La 0.245 0.493 0.493 1
La4 La 0.264 0.419 0.912 1
La5 La 0.680 0.107 0.107 1
La6 La 0.736 0.581 0.088 1
La7 La 0.736 0.088 0.581 1
La8 La 0.755 0.507 0.507 1
Sn1 Sn 0.000 0.000 0.000 1
Pr1 Pr 0.812 0.691 0.691 1
Pr2 Pr 0.188 0.309 0.309 1
```



arrangement one is the most stable structure; the next one sits 6.5 kJ/mol of atoms above it.



Arrangement one

Material: LaPr3Sn2
Method: DFT, PBE-GGA
State: optimized geometry

The structure in CIF format:
```
data_LaPr3Sn2
_chemical_formula_sum 'La2 Pr6 Sn4'
_cell_length_a 4.761
_cell_length_b 10.647
_cell_length_c 9.941
_cell_angle_alpha 124.09
_cell_angle_beta 90.00
_cell_angle_gamma 102.92
_space_group_name_H-M_alt 'P 1'
_space_group_IT_number 1
loop_
_space_group_symop_operation_xyz
'x,y,z'
loop_
_atom_site_label
_atom_site_type_symbol
_atom_site_fract_x
_atom_site_fract_y
_atom_site_fract_z
_atom_site_occupancy
La1 La 0.885 0.769 0.900 1
La2 La 0.115 0.231 0.100 1
Sn1 Sn 0.242 0.485 0.771 1
Sn2 Sn 0.492 0.984 0.841 1
Sn3 Sn 0.758 0.515 0.229 1
Sn4 Sn 0.508 0.016 0.159 1
Pr1 Pr 0.308 0.616 0.504 1
Pr2 Pr 0.353 0.705 0.183 1
Pr3 Pr 0.054 0.107 0.418 1
Pr4 Pr 0.946 0.893 0.582 1
Pr5 Pr 0.692 0.384 0.496 1
Pr6 Pr 0.647 0.295 0.817 1
```



Arrangement two

Material: LaPr3Sn2
Method: DFT, PBE-GGA
State: optimized geometry

The structure in CIF format:
```
data_LaPr3Sn2
_chemical_formula_sum 'La1 Pr3 Sn2'
_cell_length_a 4.702
_cell_length_b 4.702
_cell_length_c 8.955
_cell_angle_alpha 90.00
_cell_angle_beta 90.00
_cell_angle_gamma 90.00
_space_group_name_H-M_alt 'P 1'
_space_group_IT_number 1
loop_
_space_group_symop_operation_xyz
'x,y,z'
loop_
_atom_site_label
_atom_site_type_symbol
_atom_site_fract_x
_atom_site_fract_y
_atom_site_fract_z
_atom_site_occupancy
Sn1 Sn 0.000 0.500 0.280 1
Sn2 Sn 0.500 0.000 0.720 1
Pr1 Pr 0.000 0.000 0.000 1
Pr2 Pr 0.500 0.000 0.354 1
Pr3 Pr 0.000 0.500 0.646 1
La1 La 0.500 0.500 0.000 1
```



arrangement two is the most stable structure; the next one sits 3.0 kJ/mol of atoms above it.